(1)
## KHoCuS2 (PBE-GGA)

Data for KHoCuS2 after structural relaxation.

Lattice parameters (Å, degrees): 4.600 7.393 7.786 99.91 90.00 90.00
Fractional positions:
K  0.164  0.500  0.750
K  0.836  0.500  0.250
Ho  0.493  0.000  0.250
Ho  0.507  0.000  0.750
Cu  0.000  0.000  0.000
Cu  0.000  0.000  0.500
S  0.677  0.769  0.964
S  0.677  0.231  0.536
S  0.323  0.769  0.464
S  0.323  0.231  0.036

Summary:
* formation energy without anion corrections: -1.102 eV per atom
* space group: P2/c
* ρ: 4.2 g/cm³
* spin magnetization: 0.000 μB per formula unit
* crystal system: monoclinic

---

(2)
## Sr3Al4Au2 (PBE-GGA)

Data for Sr3Al4Au2 after structural relaxation.

Lattice parameters (Å, degrees): 4.597 6.225 9.398 68.00 75.84 68.33
Fractional positions:
Sr  0.318  0.716  0.648
Sr  0.000  0.000  0.000
Sr  0.682  0.284  0.352
Al  0.258  0.404  0.079
Al  0.742  0.596  0.921
Al  0.020  0.319  0.641
Al  0.980  0.681  0.359
Au  0.402  0.927  0.268
Au  0.598  0.073  0.732

Summary:
* space group: C2/m
* ΔE_f: -0.46 eV per atom
* ρ: 5.5 g/cm³
* spin magnetization: 0.000 μB per formula unit
* crystal system: monoclinic

---

(3)
## Ac2Ga3Ge4Rh (PBE-GGA)

Data for Ac2Ga3Ge4Rh after structural relaxation.

Lattice parameters (Å, degrees): 4.690 4.690 9.873 90.00 90.00 90.00
Fractional positions:
Ac  0.500  0.000  0.257
Ac  0.000  0.500  0.743
Ga  0.000  0.000  0.500
Ga  0.500  0.000  0.878
Ga  0.000  0.500  0.122
Ge  0.500  0.500  0.000
Ge  0.000  0.000  0.000
Ge  0.500  0.000  0.616
Ge  0.000  0.500  0.384
Rh  0.500  0.500  0.500

Summary:
* space group: P-4m2
* ΔE_f: -0.49 eV per atom
* ρ: 8.1 g/cm³
* spin magnetization: 0.000 μB per formula unit
* crystal system: tetragonal

---

(4)
## Tb2Pa2Ru3 (PBE-GGA)

Data for Tb2Pa2Ru3 after structural relaxation.

Lattice parameters (Å, degrees): 5.346 4.358 7.497 78.52 69.37 89.94
Fractional positions:
Tb  0.382  0.846  0.238
Tb  0.618  0.154  0.762
Pa  0.127  0.634  0.746
Pa  0.873  0.366  0.254
Ru  0.000  0.000  0.000
Ru  0.230  0.229  0.534
Ru  0.770  0.771  0.466

Summary:
* space group: P-1
* ΔE_f: -0.37 eV per atom
* ρ: 11.3 g/cm³
* spin magnetization: 0.000 μB per formula unit
* crystal system: triclinic

---

(5)
## TcP2Os (PBE-GGA)

Data for TcP2Os after structural relaxation.

Lattice parameters (Å, degrees): 4.830 4.830 4.830 145.11 115.54 75.44
Fractional positions:
Os  0.250  0.750  0.500
P  0.002  0.002  0.000
P  0.498  0.498  0.000
Tc  0.750  0.250  0.500

Summary:
* space group: Immm
* ΔE_f: 0.30 eV per atom
* ρ: 10.2 g/cm³
* spin magnetization: 0.000 μB per formula unit
* crystal system: orthorhombic

---

(6)
## NdEr2TmSc (PBE-GGA)

Data for NdEr2TmSc after structural relaxation.

Lattice parameters (Å, degrees): 7.066 8.140 6.911 126.08 90.00 90.00
Fractional positions:
Nd  0.250  0.730  0.461
Nd  0.750  0.270  0.539
Er  0.500  0.303  0.000
Er  0.000  0.697  0.000
Er  0.500  0.697  0.000
Er  0.000  0.303  0.000
Tm  0.750  0.731  0.462
Tm  0.250  0.269  0.538
Sc  0.250  0.996  0.992
Sc  0.750  0.004  0.008

Summary:
* space group: Cmcm
* ΔE_f: 0.34 eV per atom
* ρ: 7.2 g/cm³
* spin magnetization: 0.000 μB per formula unit
* crystal system: orthorhombic

---

(7)
## Si2As (PBE-GGA)

Data for Si2As after structural relaxation.

Lattice parameters (Å, degrees): 4.546 4.546 2.739 90.00 90.00 120.00
Fractional positions:
As  0.000  0.000  0.000
Si  0.667  0.333  0.312
Si  0.333  0.667  0.688

Summary:
* formation energy without anion corrections: 0.537 eV per atom
* space group: P-3m1
* ρ: 4.4 g/cm³
* spin magnetization: 0.000 μB per formula unit
* crystal system: trigonal

---

(8)
## Sc2ReOs2 (PBE-GGA)

Data for Sc2ReOs2 after structural relaxation.

Lattice parameters (Å, degrees): 8.388 8.388 8.388 156.26 156.26 33.82
Fractional positions:
Sc  0.597  0.597  0.000
Sc  0.403  0.403  0.000
Re  0.000  0.000  0.000
Os  0.250  0.750  0.500
Os  0.750  0.250  0.500

Summary:
* space group: I4/mmm
* ΔE_f: 0.45 eV per atom
* ρ: 11.4 g/cm³
* spin magnetization: 0.001 μB per formula unit
* crystal system: tetragonal

---

(9)
## Sn2IBr2 (PBE-GGA)

Data for Sn2IBr2 after structural relaxation.

Lattice parameters (Å, degrees): 5.190 5.190 7.345 69.31 69.31 90.00
Fractional positions:
I  0.000  0.000  0.000
Sn  0.371  0.371  0.258
Sn  0.629  0.629  0.742
Br  0.750  0.250  0.500
Br  0.250  0.750  0.500

Summary:
* formation energy without anion corrections: -0.330 eV per atom
* space group: I4/mmm
* ρ: 5.1 g/cm³
* spin magnetization: 0.000 μB per formula unit
* crystal system: tetragonal

---

(10)
## KTlZnO3 (PBE-GGA)

Data for KTlZnO3 after structural relaxation.

Lattice parameters (Å, degrees): 3.375 7.201 9.395 99.74 90.00 90.00
Fractional positions:
K  0.250  0.201  0.256
K  0.750  0.799  0.744
Tl  0.250  0.650  0.126
Tl  0.750  0.350  0.874
Zn  0.250  0.129  0.583
Zn  0.750  0.871  0.417
O  0.750  0.850  0.200
O  0.250  0.150  0.800
O  0.250  0.827  0.511
O  0.750  0.173  0.489
O  0.750  0.427  0.121
O  0.250  0.573  0.879

Summary:
* formation energy without anion corrections: -1.095 eV per atom
* space group: P2_1/m
* ρ: 5.3 g/cm³
* spin magnetization: 0.000 μB per formula unit
* crystal system: monoclinic

---

(11)
## DyEr2Pb (PBE-GGA)

Data for DyEr2Pb after structural relaxation.

Lattice parameters (Å, degrees): 4.662 4.609 11.422 101.65 90.00 90.00
Fractional positions:
Dy  0.250  0.309  0.618
Dy  0.750  0.691  0.382
Er  0.750  0.441  0.883
Er  0.250  0.559  0.117
Er  0.250  0.938  0.876
Er  0.750  0.062  0.124
Pb  0.750  0.833  0.665
Pb  0.250  0.167  0.335

Summary:
* space group: Cmcm
* ΔE_f: -0.28 eV per atom
* ρ: 9.7 g/cm³
* spin magnetization: 0.000 μB per formula unit
* crystal system: orthorhombic

---

(12)
## KLaMg3 (PBE-GGA)

Data for KLaMg3 after structural relaxation.

Lattice parameters (Å, degrees): 5.616 5.616 5.616 90.00 90.00 90.00
Fractional positions:
K  0.000  0.000  0.000
Mg  0.000  0.500  0.000
Mg  0.000  0.000  0.500
Mg  0.500  0.000  0.000
La  0.500  0.500  0.500

Summary:
* space group: Pm-3m
* ΔE_f: 0.77 eV per atom
* ρ: 2.4 g/cm³
* spin magnetization: 0.000 μB per formula unit
* crystal system: cubic

---

(13)
## Mg14CuSn (PBE-GGA)

Data for Mg14CuSn after structural relaxation.

Lattice parameters (Å, degrees): 6.328 6.328 10.085 90.00 90.00 120.00
Fractional positions:
Mg  0.995  0.497  0.000
Mg  0.001  0.501  0.500
Mg  0.503  0.005  0.000
Mg  0.499  0.999  0.500
Mg  0.503  0.497  0.000
Mg  0.499  0.501  0.500
Mg  0.164  0.836  0.241
Mg  0.164  0.836  0.759
Mg  0.164  0.328  0.241
Mg  0.164  0.328  0.759
Mg  0.672  0.836  0.241
Mg  0.672  0.836  0.759
Mg  0.667  0.333  0.253
Mg  0.667  0.333  0.747
Cu  0.000  0.000  0.000
Sn  0.000  0.000  0.500

Summary:
* space group: P-6m2
* ΔE_f: -0.01 eV per atom
* ρ: 2.5 g/cm³
* spin magnetization: 0.000 μB per formula unit
* crystal system: hexagonal

---

(14)
## TbEr9Tm2 (PBE-GGA)

Data for TbEr9Tm2 after structural relaxation.

Lattice parameters (Å, degrees): 3.459 11.060 11.060 120.00 90.00 90.00
Fractional positions:
Tb  0.000  0.000  0.000
Er  0.000  0.000  0.500
Er  0.000  0.500  0.500
Er  0.000  0.500  0.000
Er  0.500  0.355  0.177
Er  0.500  0.177  0.823
Er  0.500  0.177  0.355
Er  0.500  0.823  0.645
Er  0.500  0.823  0.177
Er  0.500  0.645  0.823
Tm  0.000  0.333  0.667
Tm  0.000  0.667  0.333

Summary:
* space group: P6/mmm
* ΔE_f: 0.05 eV per atom
* ρ: 9.1 g/cm³
* spin magnetization: 0.000 μB per formula unit
* crystal system: hexagonal

---

(15)
## Pm2TeS5 (PBE-GGA)

Data for Pm2TeS5 after structural relaxation.

Lattice parameters (Å, degrees): 5.409 7.364 13.173 90.00 90.00 111.55
Fractional positions:
Pm  0.841  0.683  0.432
Pm  0.841  0.683  0.068
Pm  0.159  0.317  0.568
Pm  0.159  0.317  0.932
Te  0.836  0.671  0.750
Te  0.164  0.329  0.250
S  0.955  0.911  0.888
S  0.955  0.911  0.612
S  0.302  0.604  0.419
S  0.302  0.604  0.081
S  0.722  0.445  0.250
S  0.278  0.555  0.750
S  0.698  0.396  0.581
S  0.698  0.396  0.919
S  0.045  0.089  0.112
S  0.045  0.089  0.388

Summary:
* formation energy without anion corrections: -1.190 eV per atom
* space group: Cmcm
* ρ: 3.9 g/cm³
* spin magnetization: 0.000 μB per formula unit
* crystal system: orthorhombic

---

(16)
## Zn2PbC (PBE-GGA)

Data for Zn2PbC after structural relaxation.

Lattice parameters (Å, degrees): 4.648 4.648 4.648 60.00 60.00 60.00
Fractional positions:
Pb  0.500  0.500  0.500
Zn  0.250  0.250  0.250
Zn  0.750  0.750  0.750
C  0.000  0.000  0.000

Summary:
* space group: Fm-3m
* ΔE_f: 1.43 eV per atom
* ρ: 8.2 g/cm³
* spin magnetization: 0.000 μB per formula unit
* crystal system: cubic

---

(17)
## Ca2GaBiO6 (PBE-GGA)

Data for Ca2GaBiO6 after structural relaxation.

Lattice parameters (Å, degrees): 5.569 5.733 7.966 90.00 89.51 90.00
Fractional positions:
Ca  0.016  0.944  0.252
Ca  0.516  0.556  0.752
Ca  0.984  0.056  0.748
Ca  0.484  0.444  0.248
Ga  0.500  0.000  0.000
Ga  0.000  0.500  0.500
Bi  0.500  0.000  0.500
Bi  0.000  0.500  0.000
O  0.311  0.709  0.056
O  0.811  0.791  0.556
O  0.689  0.291  0.944
O  0.189  0.209  0.444
O  0.294  0.694  0.444
O  0.794  0.806  0.944
O  0.706  0.306  0.556
O  0.206  0.194  0.056
O  0.893  0.541  0.258
O  0.393  0.959  0.758
O  0.107  0.459  0.742
O  0.607  0.041  0.242

Summary:
* formation energy without anion corrections: -1.991 eV per atom
* space group: P2_1/c
* ρ: 5.9 g/cm³
* spin magnetization: 0.000 μB per formula unit
* crystal system: monoclinic

---

(18)
## Ag3Te2 (PBE-GGA)

Data for Ag3Te2 after structural relaxation.

Lattice parameters (Å, degrees): 7.110 7.110 7.216 60.49 60.49 60.00
Fractional positions:
Te  0.888  0.888  0.336
Te  0.388  0.388  0.836
Te  0.112  0.112  0.664
Te  0.612  0.612  0.164
Ag  0.986  0.750  0.750
Ag  0.750  0.514  0.750
Ag  0.514  0.986  0.750
Ag  0.250  0.486  0.250
Ag  0.486  0.014  0.250
Ag  0.014  0.250  0.250

Summary:
* formation energy without anion corrections: 0.006 eV per atom
* space group: R-3c
* ρ: 7.4 g/cm³
* spin magnetization: 0.000 μB per formula unit
* crystal system: trigonal

---

(19)
## Dy4Mg2In (PBE-GGA)

Data for Dy4Mg2In after structural relaxation.

Lattice parameters (Å, degrees): 5.265 5.265 8.979 72.95 72.95 60.00
Fractional positions:
Dy  0.870  0.870  0.389
Dy  0.130  0.130  0.611
Dy  0.616  0.616  0.152
Dy  0.384  0.384  0.848
Mg  0.744  0.744  0.767
Mg  0.256  0.256  0.233
In  0.000  0.000  0.000

Summary:
* space group: R-3m
* ΔE_f: -0.01 eV per atom
* ρ: 6.7 g/cm³
* spin magnetization: 0.001 μB per formula unit
* crystal system: trigonal

---

(20)
## KReAs2 (PBE-GGA)

Data for KReAs2 after structural relaxation.

Lattice parameters (Å, degrees): 3.121 3.121 8.154 90.00 90.00 89.99
Fractional positions:
As  0.000  0.000  0.935
As  0.000  0.000  0.565
K  0.500  0.500  0.250
Re  0.500  0.500  0.750

Summary:
* space group: P4/mmm
* ΔE_f: -0.10 eV per atom
* ρ: 7.8 g/cm³
* spin magnetization: 0.000 μB per formula unit
* crystal system: tetragonal